Entry 1:
Compound: CsInHg2S
Source: Alexandria
Functional: PBE
Structure: relaxed

Lattice parameters (Å, degrees): 5.780 5.780 5.398 90.00 90.00 90.00
Atoms (fractional coordinates):
Cs 0.000 0.000 0.000
In 0.500 0.500 0.500
Hg 0.000 0.500 0.500
Hg 0.500 0.000 0.500
S 0.500 0.500 0.000

**E_form (uncorrected)**: -0.30 eV/atom
**N(E_F)**: 1.04 states/eV/f.u.
**Energy relative to the lowest polymorph listed for this composition**: 0.000 eV/atom



Entry 2:
Compound: La5OsI5
Source: Alexandria
Functional: PBE
Structure: relaxed

Lattice parameters (Å, degrees): 7.743 7.743 9.395 108.09 108.09 48.90
Atoms (fractional coordinates):
La 0.000 0.000 0.000
La 0.339 0.339 0.127
La 0.363 0.363 0.728
La 0.637 0.637 0.272
La 0.661 0.661 0.873
Os 0.500 0.500 0.000
I 0.146 0.146 0.789
I 0.181 0.181 0.350
I 0.500 0.500 0.500
I 0.819 0.819 0.650
I 0.854 0.854 0.211

**E_form (uncorrected)**: -1.03 eV/atom
**N(E_F)**: 11.18 states/eV/f.u.



Entry 3:
Compound: Li3TaO4
Source: Alexandria
Functional: PBE
Structure: relaxed

Lattice parameters (Å, degrees): 5.246 5.246 5.246 133.65 133.65 67.63
Atoms (fractional coordinates):
Li 0.000 0.000 0.000
Li 0.250 0.750 0.500
Li 0.750 0.250 0.500
Ta 0.500 0.500 0.000
O 0.000 0.500 0.500
O 0.278 0.278 0.000
O 0.500 0.000 0.500
O 0.722 0.722 0.000

**E_form (uncorrected)**: -2.44 eV/atom
**N(E_F)**: 0.00 states/eV/f.u.
**Energy relative to the lowest polymorph listed for this composition**: 0.064 eV/atom



Entry 4:
Compound: LaGaAsN2
Source: Alexandria
Functional: PBE
Structure: relaxed

Lattice parameters (Å, degrees): 4.069 4.069 6.846 90.00 90.00 90.00
Atoms (fractional coordinates):
La 0.000 0.000 0.000
Ga 0.000 0.000 0.500
As 0.500 0.500 0.000
N 0.000 0.500 0.500
N 0.500 0.000 0.500

**E_form (uncorrected)**: 0.87 eV/atom
**N(E_F)**: 2.29 states/eV/f.u.
**Energy relative to the lowest polymorph listed for this composition**: 0.000 eV/atom



Entry 5:
Compound: Tb5SmCd6
Source: Alexandria
Functional: PBE
Structure: relaxed

Lattice parameters (Å, degrees): 8.400 8.400 7.586 90.00 90.00 143.14
Atoms (fractional coordinates):
Tb 0.000 0.000 0.000
Tb 0.333 0.667 0.500
Tb 0.334 0.666 0.000
Tb 0.666 0.334 0.000
Tb 0.667 0.333 0.500
Sm 0.000 0.000 0.500
Cd 0.168 0.832 0.247
Cd 0.168 0.832 0.753
Cd 0.500 0.500 0.248
Cd 0.500 0.500 0.752
Cd 0.832 0.168 0.247
Cd 0.832 0.168 0.753

**N(E_F)**: 15.14 states/eV/f.u.
**Energy relative to the elements**: -318 meV/atom



Entry 6:
Compound: CeCdRhPb
Source: Alexandria
Functional: PBE
Structure: relaxed

Lattice parameters (Å, degrees): 5.035 5.035 5.035 60.00 60.00 60.00
Atoms (fractional coordinates):
Ce 0.000 0.000 0.000
Cd 0.750 0.750 0.750
Rh 0.250 0.250 0.250
Pb 0.500 0.500 0.500

**N(E_F)**: 5.03 states/eV/f.u.
**Energy relative to the elements**: -254 meV/atom



Entry 7:
Compound: Fe3MoH
Source: Alexandria
Functional: PBE
Structure: relaxed

Lattice parameters (Å, degrees): 4.500 4.500 4.500 90.00 90.00 90.00
Atoms (fractional coordinates):
Fe 0.000 0.000 0.500
Fe 0.000 0.500 0.000
Fe 0.500 0.000 0.000
Mo 0.000 0.000 0.000
H 0.500 0.500 0.500

**N(E_F)**: 6.28 states/eV/f.u.
**Energy relative to the lowest polymorph listed for this composition**: 2.050 eV/atom



Entry 8:
Compound: Cs2PaSbS5
Source: Alexandria
Functional: PBE
Structure: relaxed

Lattice parameters (Å, degrees): 9.798 9.798 15.633 90.00 90.00 154.50
Atoms (fractional coordinates):
Cs 0.097 0.903 0.500
Cs 0.140 0.860 0.154
Cs 0.860 0.140 0.654
Cs 0.903 0.097 0.000
Pa 0.208 0.792 0.877
Pa 0.792 0.208 0.377
Sb 0.453 0.547 0.285
Sb 0.547 0.453 0.785
S 0.073 0.927 0.897
S 0.280 0.720 0.480
S 0.321 0.679 0.265
S 0.333 0.667 0.834
S 0.491 0.509 0.140
S 0.509 0.491 0.640
S 0.667 0.333 0.334
S 0.679 0.321 0.765
S 0.720 0.280 0.980
S 0.927 0.073 0.397

**E_form (uncorrected)**: -1.13 eV/atom



Entry 9:
Compound: BaTl3B
Source: Alexandria
Functional: PBE
Structure: relaxed

Lattice parameters (Å, degrees): 5.256 5.256 5.256 90.00 90.00 90.00
Atoms (fractional coordinates):
Ba 0.000 0.000 0.000
Tl 0.000 0.500 0.500
Tl 0.500 0.000 0.500
Tl 0.500 0.500 0.000
B 0.500 0.500 0.500

**N(E_F)**: 5.04 states/eV/f.u.
**Energy relative to the elements**: 393 meV/atom
**Energy relative to the lowest polymorph listed for this composition**: 0.000 eV/atom



Entry 10:
Compound: Nd3Pt2Au4
Source: Alexandria
Functional: PBE
Structure: relaxed

Lattice parameters (Å, degrees): 6.292 6.292 9.490 116.98 116.98 39.41
Atoms (fractional coordinates):
Nd 0.000 0.000 0.000
Nd 0.317 0.317 0.372
Nd 0.683 0.683 0.628
Pt 0.390 0.390 0.734
Pt 0.610 0.610 0.266
Au 0.008 0.008 0.355
Au 0.266 0.266 0.917
Au 0.734 0.734 0.083
Au 0.992 0.992 0.645

**N(E_F)**: 4.29 states/eV/f.u.
**Energy relative to the elements**: -848 meV/atom



Entry 11:
Compound: Pm4Pr3Ru4
Source: Alexandria
Functional: PBE
Structure: relaxed

Lattice parameters (Å, degrees): 9.547 9.547 9.547 157.05 122.87 62.39
Atoms (fractional coordinates):
Pm 0.023 0.834 0.189
Pm 0.355 0.166 0.189
Pm 0.645 0.834 0.811
Pm 0.977 0.166 0.811
Pr 0.000 0.500 0.500
Pr 0.399 0.399 0.000
Pr 0.601 0.601 0.000
Ru 0.251 0.751 0.500
Ru 0.272 0.000 0.272
Ru 0.728 0.000 0.728
Ru 0.749 0.249 0.500

**N(E_F)**: 8.37 states/eV/f.u.
**Energy relative to the elements**: -117 meV/atom



Entry 12:
Compound: MoIrCl2
Source: Alexandria
Functional: PBE
Structure: relaxed

Lattice parameters (Å, degrees): 4.161 4.161 3.789 90.00 90.00 90.00
Atoms (fractional coordinates):
Mo 0.000 0.000 0.000
Ir 0.500 0.500 0.000
Cl 0.000 0.500 0.500
Cl 0.500 0.000 0.500

**E_form (uncorrected)**: 1.11 eV/atom
**N(E_F)**: 4.40 states/eV/f.u.
**Energy relative to the lowest polymorph listed for this composition**: 1.343 eV/atom